A plane-wave DFT calculation with PBE-GGA was carried out for a relaxed NdYTh2 crystal. Values from VASP.

The structure in Quantum ESPRESSO input format:
```
&SYSTEM
  ibrav = 0, nat = 16, ntyp = 3
/
ATOMIC_SPECIES
Nd 144.24 Nd.upf
Y 88.91 Y.upf
Th 232.04 Th.upf
CELL_PARAMETERS angstrom
8.942 0.000 0.000
0.000 17.787 0.000
-0.530 0.000 3.505
ATOMIC_POSITIONS crystal
Nd 0.250 0.250 0.000
Nd 0.250 0.750 0.500
Nd 0.750 0.250 0.500
Nd 0.750 0.750 0.000
Y 0.000 0.086 0.750
Y 0.000 0.914 0.250
Y 0.500 0.414 0.250
Y 0.500 0.586 0.750
Th 0.160 0.417 0.542
Th 0.160 0.583 0.042
Th 0.340 0.083 0.458
Th 0.340 0.917 0.958
Th 0.660 0.083 0.042
Th 0.660 0.917 0.542
Th 0.840 0.417 0.958
Th 0.840 0.583 0.458
```

Output
Energy above the most stable polymorph in this dataset   229 meV per atom
Space group   C2/c, No. 15
Energy of formation from the pure elements   0.2571 eV per atom
Energy   -6.261 eV per atom